Here is a geometry-optimized LaMnC2F structure from Alexandria. Energies are from GGA+U.

abc: 3.817 4.259 3.817
angles: 90.00 90.00 90.00
Atoms (fractional coordinates):
F 0.000 0.500 0.000
Mn 0.000 0.000 0.000
C 0.000 0.000 0.500
C 0.500 0.000 0.000
La 0.500 0.500 0.500

Properties
The energy is -0.235 Ha/atom. The energy above the most stable polymorph in this dataset comes out at 0 meV per atom. As for the density of states at the Fermi level: 0.6438 states/eV/atom.